(1)
## K3Tb2ZrS6 (PBE)

Data for a geometry-optimized K3Tb2ZrS6 structure.

a b c (Å): 6.867 6.867 7.740
angles (deg): 98.52 98.52 120.00
Fractional coordinates of all 12 atoms:
K 0.169 0.831 0.500
Tb 0.334 0.666 0.000
S 0.933 0.613 0.798
K 0.831 0.169 0.500
S 0.748 0.748 0.203
K 0.500 0.500 0.500
Tb 0.666 0.334 0.000
S 0.613 0.933 0.798
S 0.252 0.252 0.797
S 0.387 0.067 0.202
Zr 0.000 0.000 0.000
S 0.067 0.387 0.202

Calculated values
VASP energy   -66.614 eV per formula unit
Density   3.95 g/cm3
Formation energy (no corrections)   -1729.0 meV/atom
Total moment   0.0 μB per formula unit



(2)
## Ce3P4Rh4 (PBE)

Data for a geometry-optimized Ce3P4Rh4 structure.

a b c (Å): 4.060 3.949 12.479
angles (deg): 99.10 99.36 90.00
Each line ends with the local moment (μB).
Fractional coordinates of all 11 atoms:
P 0.453 0.453 0.905  -0.01
Rh 0.097 0.597 0.193  -0.02
Ce 0.644 0.144 0.289  0.21
P 0.547 0.547 0.095  -0.01
Ce 0.356 0.856 0.711  0.21
Rh 0.249 0.249 0.498  0.04
P 0.807 0.307 0.613  0.01
Rh 0.751 0.751 0.502  0.04
Ce 0.000 0.000 0.000  0.53
Rh 0.903 0.403 0.807  -0.02
P 0.193 0.693 0.387  0.01

Calculated values
VASP energy   -82.247 eV per formula unit
Energy relative to the elements   -1.218 eV per atom
Density   8.14 g/cm3
Energy relative to the lowest polymorph listed for this composition   0 meV per atom
Total moment   1.2 μB per formula unit



(3)
## IrBr3N (PBE)

Data for a geometry-optimized IrBr3N structure.

a b c (Å): 5.012 5.012 5.012
angles (deg): 90.00 90.00 90.00
Fractional coordinates of all 5 atoms:
Br 0.000 0.500 0.000
Br 0.000 0.000 0.500
Ir 0.000 0.000 0.000
Br 0.500 0.000 0.000
N 0.500 0.500 0.500

Calculated values
VASP energy   -14.050 eV per formula unit
Density   5.88 g/cm3
Formation energy (no corrections)   1631.0 meV/atom
Energy relative to the lowest polymorph listed for this composition   1698 meV per atom
Total moment   0.0 μB per formula unit



(4)
## ZrMn6Ga6 (PBE)

Data for a geometry-optimized ZrMn6Ga6 structure.

a b c (Å): 5.055 6.528 6.528
angles (deg): 80.55 67.22 67.22
Each line ends with the local moment (μB).
Fractional coordinates of all 13 atoms:
Ga 0.000 0.668 0.332  -0.06
Mn 0.500 0.500 0.000  1.82
Ga 0.676 0.824 0.824  -0.08
Ga 0.324 0.176 0.176  -0.08
Ga 0.000 0.332 0.668  -0.06
Zr 0.000 0.000 0.000  -0.28
Mn 0.500 0.243 0.757  1.18
Mn 0.500 0.000 0.500  1.82
Ga 0.343 0.657 0.657  -0.07
Mn 0.000 0.000 0.500  1.82
Ga 0.657 0.343 0.343  -0.07
Mn 0.500 0.757 0.243  1.18
Mn 0.000 0.500 0.000  1.82

Calculated values
VASP energy   -84.368 eV per formula unit
Energy relative to the elements   -0.203 eV per atom
Density   7.61 g/cm3
Total moment   8.9 μB per formula unit



(5)
## LiPa2Pt3 (PBE)

Data for a geometry-optimized LiPa2Pt3 structure.

a b c (Å): 3.754 6.674 10.303
angles (deg): 90.00 100.50 90.00
Fractional coordinates of all 12 atoms:
Pa 0.835 0.250 0.671
Pt 0.571 0.545 0.143
Li 0.661 0.250 0.321
Pa 0.964 0.750 0.928
Pt 0.571 0.955 0.143
Pt 0.429 0.045 0.857
Pt 0.240 0.250 0.480
Pt 0.760 0.750 0.520
Pa 0.036 0.250 0.072
Pa 0.165 0.750 0.329
Li 0.339 0.750 0.679
Pt 0.429 0.455 0.857

Calculated values
VASP energy   -43.227 eV per formula unit
Energy relative to the elements   -0.700 eV per atom
Density   13.79 g/cm3
Energy relative to the lowest polymorph listed for this composition   96 meV per atom
Total moment   0.0 μB per formula unit



(6)
## PmIn2Bi (PBE)

Data for a geometry-optimized PmIn2Bi structure.

a b c (Å): 5.514 5.514 5.490
angles (deg): 59.86 59.86 60.00
Fractional coordinates of all 4 atoms:
In 0.750 0.750 0.750
Bi 0.000 0.000 0.000
Pm 0.500 0.500 0.500
In 0.250 0.250 0.250

Calculated values
VASP energy   -14.823 eV per formula unit
Energy relative to the elements   -0.179 eV per atom
Density   8.23 g/cm3
Energy relative to the lowest polymorph listed for this composition   262 meV per atom
Total moment   0.0 μB per formula unit



(7)
## Mg3TlSi (PBE)

Data for a geometry-optimized Mg3TlSi structure.

a b c (Å): 5.075 5.075 5.075
angles (deg): 90.00 90.00 90.00
Fractional coordinates of all 5 atoms:
Si 0.000 0.000 0.000
Mg 0.000 0.000 0.500
Tl 0.500 0.500 0.500
Mg 0.500 0.000 0.000
Mg 0.000 0.500 0.000

Calculated values
VASP energy   -11.796 eV per formula unit
Density   3.88 g/cm3
Formation energy (no corrections)   155.3 meV/atom
Energy relative to the lowest polymorph listed for this composition   0 meV per atom
Total moment   0.0 μB per formula unit



(8)
## TbNbAl (PBE)

Data for a geometry-optimized TbNbAl structure.

a b c (Å): 5.430 4.946 6.462
angles (deg): 76.67 65.16 56.70
Fractional coordinates of all 6 atoms:
Tb 0.174 0.651 0.000
Al 0.618 0.000 0.764
Al 0.382 0.000 0.236
Nb 0.250 0.500 0.500
Nb 0.750 0.500 0.500
Tb 0.826 0.349 0.000

Calculated values
VASP energy   -17.899 eV per formula unit
Energy relative to the elements   0.181 eV per atom
Density   7.03 g/cm3
Total moment   0.0 μB per formula unit